<A>
MoAuBr: PBEsol geometry, SCAN.

abc: 3.068 3.068 6.767
angles: 90.00 90.00 120.00
Sites, in units of the cell vectors:
Mo: 0.000 0.000 0.000
Au: 0.333 0.667 0.685
Br: 0.667 0.333 0.269

Values from the calculation:
Space group ... No. 156
Theoretical density ... 11.2 g cm⁻³

<B>
MoAuBr: PBEsol geometry, SCAN.

abc: 6.613 6.613 6.613
angles: 153.72 153.72 37.50
Sites, in units of the cell vectors:
Mo: 0.000 0.000 0.000
Au: 0.639 0.639 0.000
Br: 0.373 0.373 0.000

Values from the calculation:
Space group ... No. 107
Theoretical density ... 10.9 g cm⁻³

Energetically preferred structure: <A> | next structure: +64 meV per atom

<A>
NiAu2Br: PBEsol geometry, SCAN.

abc: 5.799 5.799 3.247
angles: 106.13 106.13 125.60
Sites, in units of the cell vectors:
Ni: 0.000 0.000 0.000
Au: 0.000 0.500 0.500
Au: 0.500 0.000 0.500
Br: 0.500 0.500 0.000

Values from the calculation:
Space group ... No. 12
Theoretical density ... 12.5 g cm⁻³

<B>
NiAu2Br: PBEsol geometry, SCAN.

abc: 2.989 2.989 7.693
angles: 90.00 90.00 90.00
Sites, in units of the cell vectors:
Ni: 0.000 0.000 0.000
Au: 0.000 0.000 0.463
Au: 0.500 0.500 0.218
Br: 0.500 0.500 0.811

Values from the calculation:
Space group ... No. 99
Theoretical density ... 12.9 g cm⁻³

<C>
NiAu2Br: PBEsol geometry, SCAN.

abc: 6.597 6.597 6.597
angles: 155.03 141.80 46.19
Sites, in units of the cell vectors:
Ni: 0.000 0.000 0.000
Au: 0.185 0.685 0.500
Au: 0.548 0.548 0.000
Br: 0.845 0.345 0.500

Values from the calculation:
Space group ... No. 44
Theoretical density ... 11.8 g cm⁻³

Energetically preferred structure: <C> | next structure: +77 meV per atom

<A>
Pb2AuBr: PBEsol geometry, SCAN.

abc: 3.914 3.914 8.572
angles: 103.33 103.33 60.16
Sites, in units of the cell vectors:
Pb: 0.240 0.240 0.219
Pb: 0.760 0.760 0.781
Au: 0.500 0.500 0.000
Br: 0.000 0.000 0.500

Values from the calculation:
Space group ... No. 12
Theoretical density ... 10.5 g cm⁻³

<B>
Pb2AuBr: PBEsol geometry, SCAN.

abc: 5.471 5.471 3.346
angles: 90.00 90.00 90.00
Sites, in units of the cell vectors:
Pb: 0.000 0.500 0.000
Pb: 0.500 0.000 0.000
Au: 0.000 0.000 0.500
Br: 0.500 0.500 0.500

Values from the calculation:
Space group ... No. 123
Theoretical density ... 11.5 g cm⁻³

Energetically preferred structure: <A> | next structure: +232 meV per atom

<A>
PtAu2Br: PBEsol geometry, SCAN.

abc: 5.305 5.305 5.305
angles: 136.28 136.28 63.55
Sites, in units of the cell vectors:
Pt: 0.000 0.000 0.000
Au: 0.250 0.750 0.500
Au: 0.750 0.250 0.500
Br: 0.500 0.500 0.000

Values from the calculation:
Space group ... No. 139
Theoretical density ... 15.8 g cm⁻³

<B>
PtAu2Br: PBEsol geometry, SCAN.

abc: 8.140 8.140 8.140
angles: 23.31 23.31 23.31
Sites, in units of the cell vectors:
Pt: 0.000 0.000 0.000
Au: 0.255 0.255 0.255
Au: 0.505 0.505 0.505
Br: 0.745 0.745 0.745

Values from the calculation:
Space group ... No. 160
Theoretical density ... 15.0 g cm⁻³

Energetically preferred structure: <B> | next structure: +270 meV per atom

<A>
RhAu2Br: PBEsol geometry, SCAN.

abc: 5.112 5.112 2.707
angles: 90.00 90.00 90.00
Sites, in units of the cell vectors:
Rh: 0.000 0.000 0.000
Au: 0.000 0.500 0.500
Au: 0.500 0.000 0.500
Br: 0.500 0.500 0.000

Values from the calculation:
Space group ... No. 123
Theoretical density ... 13.5 g cm⁻³

<B>
RhAu2Br: PBEsol geometry, SCAN.

abc: 4.608 4.608 6.124
angles: 102.29 102.29 40.39
Sites, in units of the cell vectors:
Rh: 0.000 0.000 0.000
Au: 0.254 0.254 0.828
Au: 0.495 0.495 0.622
Br: 0.624 0.624 0.276

Values from the calculation:
Space group ... No. 8
Theoretical density ... 11.7 g cm⁻³

Energetically preferred structure: <B> | next structure: +530 meV per atom

<A>
Sb2AuBr: PBEsol geometry, SCAN.

abc: 8.361 8.361 8.361
angles: 137.48 137.48 61.69
Sites, in units of the cell vectors:
Sb: 0.069 0.625 0.944
Sb: 0.375 0.319 0.444
Sb: 0.681 0.125 0.056
Sb: 0.875 0.931 0.556
Au: 0.000 0.000 0.000
Au: 0.750 0.250 0.500
Br: 0.250 0.750 0.500
Br: 0.500 0.500 0.000

Values from the calculation:
Space group ... No. 122
Theoretical density ... 6.6 g cm⁻³

<B>
Sb2AuBr: PBEsol geometry, SCAN.

abc: 5.031 5.031 5.031
angles: 60.00 60.00 60.00
Sites, in units of the cell vectors:
Sb: 0.250 0.250 0.250
Sb: 0.750 0.750 0.750
Au: 0.000 0.000 0.000
Br: 0.500 0.500 0.500

Values from the calculation:
Space group ... No. 225
Theoretical density ... 9.6 g cm⁻³

<C>
Sb2AuBr: PBEsol geometry, SCAN.

abc: 4.189 4.189 7.249
angles: 101.26 101.26 62.20
Sites, in units of the cell vectors:
Sb: 0.189 0.189 0.178
Sb: 0.811 0.811 0.822
Au: 0.500 0.500 0.000
Br: 0.000 0.000 0.500

Values from the calculation:
Space group ... No. 12
Theoretical density ... 7.9 g cm⁻³

Energetically preferred structure: <C> | next structure: +456 meV per atom

<A>
SbAu2Br: PBEsol geometry, SCAN.

abc: 5.160 5.160 5.160
angles: 127.50 127.50 77.43
Sites, in units of the cell vectors:
Sb: 0.000 0.000 0.000
Au: 0.500 0.500 0.000
Au: 0.750 0.250 0.500
Br: 0.250 0.750 0.500

Values from the calculation:
Space group ... No. 119
Theoretical density ... 11.8 g cm⁻³

<B>
SbAu2Br: PBEsol geometry, SCAN.

abc: 6.198 6.198 6.198
angles: 150.43 133.17 56.36
Sites, in units of the cell vectors:
Sb: 0.000 0.000 0.000
Au: 0.228 0.728 0.500
Au: 0.772 0.272 0.500
Br: 0.500 0.500 0.000

Values from the calculation:
Space group ... No. 71
Theoretical density ... 11.6 g cm⁻³

Energetically preferred structure: <B> | next structure: +137 meV per atom

<A>
SbAu2Br: PBEsol geometry, SCAN.

abc: 3.525 3.615 7.409
angles: 90.00 103.71 90.00
Sites, in units of the cell vectors:
Sb: 0.000 0.000 0.000
Au: 0.407 0.500 0.816
Au: 0.808 0.000 0.623
Br: 0.671 0.500 0.345

Values from the calculation:
Space group ... No. 6
Theoretical density ... 10.8 g cm⁻³

<B>
SbAu2Br: PBEsol geometry, SCAN.

abc: 7.025 7.025 7.025
angles: 124.11 124.11 83.01
Sites, in units of the cell vectors:
Sb: 0.000 0.000 0.000
Sb: 0.750 0.250 0.500
Au: 0.106 0.125 0.481
Au: 0.375 0.894 0.019
Au: 0.644 0.625 0.519
Au: 0.875 0.356 0.981
Br: 0.250 0.750 0.500
Br: 0.500 0.500 0.000

Values from the calculation:
Space group ... No. 122
Theoretical density ... 8.7 g cm⁻³

Energetically preferred structure: <A> | next structure: +60 meV per atom